Compound: Hf3CuRe
Source: Alexandria via LeMat-Bulk
Functional: PBEsol
Structure: relaxed

Values from the calculation:
- theoretical density (Mg/m³) = 10.75
- total energy (eV per formula unit) = -44.5
- energy of formation from the pure elements (eV per atom) = 0.938
- space-group type = Pm-3m (221)

Unit cell a=4.9504 b=4.9504 c=4.9504 alpha=90.00 beta=90.00 gamma=90.00
Fractional positions:
Re: 0.0000 0.0000 0.0000
Hf: 0.0000 0.5000 0.0000
Hf: 0.0000 0.0000 0.5000
Hf: 0.5000 0.0000 0.0000
Cu: 0.5000 0.5000 0.5000

Compound: Hf2CuRh
Source: Alexandria via LeMat-Bulk
Functional: PBEsol
Structure: relaxed

Values from the calculation:
- theoretical density (Mg/m³) = 13.09
- total energy (eV per formula unit) = -35.4
- energy of formation from the pure elements (eV per atom) = -0.476
- space-group type = Fm-3m (225)

Unit cell a=4.5456 b=4.5456 c=4.5456 alpha=60.00 beta=60.00 gamma=60.00
Fractional positions:
Rh: 0.5000 0.5000 0.5000
Hf: 0.2500 0.2500 0.2500
Hf: 0.7500 0.7500 0.7500
Cu: 0.0000 0.0000 0.0000

Compound: HfCu2RuW
Source: Alexandria via LeMat-Bulk
Functional: PBEsol
Structure: relaxed

Values from the calculation:
- theoretical density (Mg/m³) = 10.15
- total energy (eV per formula unit) = -31.6
- energy of formation from the pure elements (eV per atom) = 2.307
- space-group type = P4/mmm (123)

Unit cell a=4.5342 b=4.5342 c=4.6979 alpha=90.00 beta=90.00 gamma=90.00
Fractional positions:
Ru: 0.5000 0.5000 0.5000
Hf: 0.0000 0.0000 0.0000
Cu: 0.0000 0.5000 0.0000
Cu: 0.5000 0.0000 0.0000
W: 0.0000 0.0000 0.5000